1.
Here is CoOs2Ru after structural relaxation from Alexandria. Energies are from PBE-GGA.

As for the space-group type: P4mm (99). Its crystal system is tetragonal.

a b c (Å): 2.6933 2.6933 7.3843
angles (deg): 90.00 90.00 90.00
Atoms (fractional coordinates):
Co (0.0000, 0.0000, 0.0000)
Os (0.0000, 0.0000, 0.4991)
Os (0.5000, 0.5000, 0.2373)
Ru (0.5000, 0.5000, 0.7586)

2.
Here is TaTl2Mo after structural relaxation from Alexandria. Energies are from PBE-GGA.

As for the space-group type: I-4m2 (119). Its crystal system is tetragonal.

a b c (Å): 5.3585 5.3585 5.3585
angles (deg): 133.56 133.56 67.78
Atoms (fractional coordinates):
Ta (0.0000, 0.0000, 0.0000)
Tl (0.2500, 0.7500, 0.5000)
Tl (0.5000, 0.5000, 0.0000)
Mo (0.7500, 0.2500, 0.5000)

3.
Here is Tb2DySc5 after structural relaxation from Alexandria. Energies are from PBE-GGA.

As for the space-group type: Fmm2 (42). Its crystal system is orthorhombic.

a b c (Å): 7.9978 6.8602 6.3579
angles (deg): 74.36 55.69 49.95
Atoms (fractional coordinates):
Tb (0.2451, 0.7549, 0.2451)
Tb (0.7549, 0.2451, 0.7549)
Dy (0.3299, 0.3299, 0.6701)
Sc (0.2463, 0.2463, 0.2537)
Sc (0.3371, 0.8321, 0.6629)
Sc (0.7463, 0.7463, 0.7537)
Sc (0.8283, 0.8283, 0.1717)
Sc (0.8321, 0.3371, 0.1679)

4.
Here is CsKPSe3 after structural relaxation from Alexandria. Energies are from PBE-GGA.

As for the space-group type: C2/m (12). Its crystal system is monoclinic. For the formation energy (no corrections), the calculation gives -450 kJ/mol of formula units.

a b c (Å): 7.7226 7.7226 8.9579
angles (deg): 97.12 97.12 64.37
Atoms (fractional coordinates):
Cs (0.1573, 0.1573, 0.3964)
Cs (0.8427, 0.8427, 0.6036)
K (0.2808, 0.7192, 0.0000)
K (0.7192, 0.2808, 0.0000)
P (0.4807, 0.4807, 0.3678)
P (0.5193, 0.5193, 0.6322)
Se (0.1678, 0.6135, 0.3034)
Se (0.3702, 0.3702, 0.7227)
Se (0.3865, 0.8322, 0.6966)
Se (0.6135, 0.1678, 0.3034)
Se (0.6298, 0.6298, 0.2773)
Se (0.8322, 0.3865, 0.6966)

5.
Here is SrScTa after structural relaxation from Alexandria. Energies are from PBE-GGA.

As for the space-group type: P-6m2 (187). Its crystal system is hexagonal.

a b c (Å): 5.3807 5.3807 2.9419
angles (deg): 90.00 90.00 120.00
Atoms (fractional coordinates):
Sr (0.0000, 0.0000, 0.0000)
Sc (0.3333, 0.6667, 0.0000)
Ta (0.6667, 0.3333, 0.5000)

6.
Here is CaPu3Cu8 after structural relaxation from Alexandria. Energies are from PBE-GGA.

As for the space-group type: P3m1 (156). Its crystal system is trigonal.

a b c (Å): 5.2512 5.2512 8.5513
angles (deg): 90.00 90.00 120.00
Atoms (fractional coordinates):
Ca (0.0000, 0.0000, 0.0000)
Pu (0.0000, 0.0000, 0.3893)
Pu (0.6667, 0.3333, 0.4895)
Pu (0.6667, 0.3333, 0.8673)
Cu (0.0031, 0.5015, 0.1855)
Cu (0.1689, 0.3377, 0.6880)
Cu (0.1689, 0.8311, 0.6880)
Cu (0.3333, 0.6667, 0.4374)
Cu (0.3333, 0.6667, 0.9380)
Cu (0.4985, 0.5015, 0.1855)
Cu (0.4985, 0.9969, 0.1855)
Cu (0.6623, 0.8311, 0.6880)

7.
Here is CaAgRh after structural relaxation from Alexandria. Energies are from PBE-GGA.

As for the space-group type: F-43m (216). Its crystal system is cubic.

a b c (Å): 4.5987 4.5987 4.5987
angles (deg): 60.00 60.00 60.00
Atoms (fractional coordinates):
Ca (0.0000, 0.0000, 0.0000)
Ag (0.5000, 0.5000, 0.5000)
Rh (0.2500, 0.2500, 0.2500)

8.
Here is ScNbGa2 after structural relaxation from Alexandria. Energies are from PBE-GGA.

As for the space-group type: P4/mmm (123). Its crystal system is tetragonal.

a b c (Å): 2.9248 2.9248 8.2187
angles (deg): 90.00 90.00 90.00
Atoms (fractional coordinates):
Sc (0.0000, 0.0000, 0.0000)
Nb (0.0000, 0.0000, 0.5000)
Ga (0.5000, 0.5000, 0.2566)
Ga (0.5000, 0.5000, 0.7434)

9.
Here is Sr4S3Br after structural relaxation from Alexandria. Energies are from PBE-GGA.

As for the space-group type: R-3m (166). Its crystal system is trigonal. For the formation energy (no corrections), the calculation gives -1513 kJ/mol of formula units.

a b c (Å): 14.4191 14.4191 14.4191
angles (deg): 17.24 17.24 17.24
Atoms (fractional coordinates):
Sr (0.1183, 0.1183, 0.1183)
Sr (0.3731, 0.3731, 0.3731)
Sr (0.6269, 0.6269, 0.6269)
Sr (0.8817, 0.8817, 0.8817)
S (0.0000, 0.0000, 0.0000)
S (0.2512, 0.2512, 0.2512)
S (0.7488, 0.7488, 0.7488)
Br (0.5000, 0.5000, 0.5000)

10.
Here is Ac5Pr12Nd2 after structural relaxation from Alexandria. Energies are from PBE-GGA.

As for the space-group type: C2/m (12). Its crystal system is monoclinic.

a b c (Å): 12.2452 12.2452 9.1156
angles (deg): 109.49 109.49 35.46
Atoms (fractional coordinates):
Ac (0.0000, 0.0000, 0.0000)
Ac (0.2457, 0.2457, 0.9864)
Ac (0.3475, 0.3475, 0.4104)
Ac (0.6525, 0.6525, 0.5896)
Ac (0.7543, 0.7543, 0.0136)
Pr (0.0543, 0.5481, 0.7105)
Pr (0.1419, 0.1419, 0.5546)
Pr (0.1558, 0.6328, 0.1221)
Pr (0.3672, 0.8442, 0.8779)
Pr (0.4519, 0.9457, 0.2895)
Pr (0.4530, 0.4530, 0.8083)
Pr (0.5470, 0.5470, 0.1917)
Pr (0.5481, 0.0543, 0.7105)
Pr (0.6328, 0.1558, 0.1221)
Pr (0.8442, 0.3672, 0.8779)
Pr (0.8581, 0.8581, 0.4454)
Pr (0.9457, 0.4519, 0.2895)
Nd (0.2563, 0.7437, 0.5000)
Nd (0.7437, 0.2563, 0.5000)

11.
Here is CaTaIn2 after structural relaxation from Alexandria. Energies are from PBE-GGA.

As for the space-group type: P4/mmm (123). Its crystal system is tetragonal.

a b c (Å): 4.6855 4.6855 4.1706
angles (deg): 90.00 90.00 90.00
Atoms (fractional coordinates):
Ca (0.0000, 0.0000, 0.0000)
Ta (0.5000, 0.5000, 0.0000)
In (0.0000, 0.5000, 0.5000)
In (0.5000, 0.0000, 0.5000)

12.
Here is Rb5HgTeO2 after structural relaxation from Alexandria. Energies are from PBE-GGA.

As for the space-group type: P4/mmm (123). Its crystal system is tetragonal. For the formation energy (no corrections), the calculation gives -789 kJ/mol of formula units.

a b c (Å): 5.8003 5.8003 9.9038
angles (deg): 90.00 90.00 90.00
Atoms (fractional coordinates):
Rb (0.0000, 0.0000, 0.0000)
Rb (0.0000, 0.5000, 0.2594)
Rb (0.0000, 0.5000, 0.7406)
Rb (0.5000, 0.0000, 0.2594)
Rb (0.5000, 0.0000, 0.7406)
Hg (0.0000, 0.0000, 0.5000)
Te (0.5000, 0.5000, 0.0000)
O (0.0000, 0.0000, 0.2914)
O (0.0000, 0.0000, 0.7086)

13.
Here is ZnBW2 after structural relaxation from Alexandria. Energies are from PBE-GGA.

As for the space-group type: R-3m (166). Its crystal system is trigonal.

a b c (Å): 7.9834 7.9834 7.9834
angles (deg): 22.03 22.03 22.03
Atoms (fractional coordinates):
Zn (0.0000, 0.0000, 0.0000)
B (0.5000, 0.5000, 0.5000)
W (0.1148, 0.1148, 0.1148)
W (0.8852, 0.8852, 0.8852)

14.
Here is La8Co3NiBr4 after structural relaxation from Alexandria. Energies are from PBE-GGA.

As for the space-group type: C2/m (12). Its crystal system is monoclinic. For the formation energy (no corrections), the calculation gives -1308 kJ/mol of formula units.

a b c (Å): 8.2341 8.2341 9.1791
angles (deg): 116.41 116.41 58.83
Atoms (fractional coordinates):
La (0.2273, 0.7382, 0.6923)
La (0.2351, 0.2351, 0.6930)
La (0.2618, 0.7727, 0.3077)
La (0.2638, 0.2638, 0.3086)
La (0.7362, 0.7362, 0.6914)
La (0.7382, 0.2273, 0.6923)
La (0.7649, 0.7649, 0.3070)
La (0.7727, 0.2618, 0.3077)
Co (0.0000, 0.0000, 0.5000)
Co (0.0000, 0.5000, 0.5000)
Co (0.5000, 0.0000, 0.5000)
Ni (0.5000, 0.5000, 0.5000)
Br (0.0000, 0.0000, 0.0000)
Br (0.0000, 0.5000, 0.0000)
Br (0.5000, 0.0000, 0.0000)
Br (0.5000, 0.5000, 0.0000)

15.
Here is V2GaNi after structural relaxation from Alexandria. Energies are from PBE-GGA.

As for the space-group type: P4/mmm (123). Its crystal system is tetragonal.

a b c (Å): 2.6016 2.6016 7.6510
angles (deg): 90.00 90.00 90.00
Atoms (fractional coordinates):
V (0.0000, 0.0000, 0.2362)
V (0.0000, 0.0000, 0.7638)
Ga (0.5000, 0.5000, 0.5000)
Ni (0.5000, 0.5000, 0.0000)

16.
Here is Ca12Ga6H after structural relaxation from Alexandria. Energies are from PBE-GGA.

As for the space-group type: R-3 (148). Its crystal system is trigonal.

a b c (Å): 8.5358 8.5358 8.5358
angles (deg): 97.70 97.70 97.70
Atoms (fractional coordinates):
Ca (0.0123, 0.9330, 0.6837)
Ca (0.0670, 0.3163, 0.9877)
Ca (0.1823, 0.5728, 0.4324)
Ca (0.3163, 0.9877, 0.0670)
Ca (0.4272, 0.5676, 0.8177)
Ca (0.4324, 0.1823, 0.5728)
Ca (0.5676, 0.8177, 0.4272)
Ca (0.5728, 0.4324, 0.1823)
Ca (0.6837, 0.0123, 0.9330)
Ca (0.8177, 0.4272, 0.5676)
Ca (0.9330, 0.6837, 0.0123)
Ca (0.9877, 0.0670, 0.3163)
Ga (0.1288, 0.2909, 0.6431)
Ga (0.2909, 0.6431, 0.1288)
Ga (0.3569, 0.8712, 0.7091)
Ga (0.6431, 0.1288, 0.2909)
Ga (0.7091, 0.3569, 0.8712)
Ga (0.8712, 0.7091, 0.3569)
H (0.0000, 0.0000, 0.0000)

17.
Here is Cs2PaGeO6 after structural relaxation from Alexandria. Energies are from PBE-GGA.

As for the space-group type: P-3m1 (164). Its crystal system is trigonal. For the formation energy (no corrections), the calculation gives -1994 kJ/mol of formula units.

a b c (Å): 6.7381 6.7381 5.5938
angles (deg): 90.00 90.00 120.00
Atoms (fractional coordinates):
Cs (0.3333, 0.6667, 0.3590)
Cs (0.6667, 0.3333, 0.6410)
Pa (0.0000, 0.0000, 0.0000)
Ge (0.0000, 0.0000, 0.5000)
O (0.1291, 0.2583, 0.7215)
O (0.1291, 0.8709, 0.7215)
O (0.2583, 0.1291, 0.2785)
O (0.7417, 0.8709, 0.7215)
O (0.8709, 0.1291, 0.2785)
O (0.8709, 0.7417, 0.2785)

18.
Here is Ac2Sm8Ho after structural relaxation from Alexandria. Energies are from PBE-GGA.

As for the space-group type: C2/m (12). Its crystal system is monoclinic.

a b c (Å): 8.0958 8.0958 8.0955
angles (deg): 103.38 103.38 50.62
Atoms (fractional coordinates):
Ac (0.1736, 0.1736, 0.2508)
Ac (0.8264, 0.8264, 0.7492)
Sm (0.1954, 0.6654, 0.1436)
Sm (0.2568, 0.2568, 0.8064)
Sm (0.3346, 0.8046, 0.8564)
Sm (0.3945, 0.3945, 0.5280)
Sm (0.6055, 0.6055, 0.4720)
Sm (0.6654, 0.1954, 0.1436)
Sm (0.7432, 0.7432, 0.1936)
Sm (0.8046, 0.3346, 0.8564)
Ho (0.0000, 0.0000, 0.5000)

19.
Here is GaHgSbTe2 after structural relaxation from Alexandria. Energies are from PBE-GGA.

As for the space-group type: P4/mmm (123). Its crystal system is tetragonal. For the formation energy (no corrections), the calculation gives 192 kJ/mol of formula units.

a b c (Å): 5.4638 5.4638 5.3757
angles (deg): 90.00 90.00 90.00
Atoms (fractional coordinates):
Ga (0.0000, 0.0000, 0.0000)
Hg (0.5000, 0.5000, 0.5000)
Sb (0.0000, 0.0000, 0.5000)
Te (0.0000, 0.5000, 0.0000)
Te (0.5000, 0.0000, 0.0000)

20.
Here is Lu2TiCd after structural relaxation from Alexandria. Energies are from PBE-GGA.

As for the space-group type: R-3m (166). Its crystal system is trigonal.

a b c (Å): 11.2565 11.2565 11.2565
angles (deg): 16.63 16.63 16.63
Atoms (fractional coordinates):
Lu (0.0876, 0.0876, 0.0876)
Lu (0.9124, 0.9124, 0.9124)
Ti (0.0000, 0.0000, 0.0000)
Cd (0.5000, 0.5000, 0.5000)

21.
Here is Hf5ZrN5 after structural relaxation from Alexandria. Energies are from PBE-GGA.

As for the space-group type: C2/m (12). Its crystal system is monoclinic. For the formation energy (no corrections), the calculation gives -1707 kJ/mol of formula units.

a b c (Å): 5.5622 5.5622 6.4121
angles (deg): 106.88 106.88 48.71
Atoms (fractional coordinates):
Hf (0.0000, 0.0000, 0.0000)
Hf (0.3304, 0.3304, 0.1689)
Hf (0.3306, 0.3306, 0.6620)
Hf (0.6694, 0.6694, 0.3380)
Hf (0.6696, 0.6696, 0.8311)
Zr (0.0000, 0.0000, 0.5000)
N (0.1696, 0.1696, 0.8380)
N (0.1714, 0.1714, 0.3341)
N (0.5000, 0.5000, 0.5000)
N (0.8286, 0.8286, 0.6659)
N (0.8304, 0.8304, 0.1620)

22.
Here is KNi2Pb after structural relaxation from Alexandria. Energies are from PBE-GGA.

As for the space-group type: C2/m (12). Its crystal system is monoclinic.

a b c (Å): 4.8902 4.8902 3.2562
angles (deg): 90.20 90.20 90.01
Atoms (fractional coordinates):
K (0.0000, 0.0000, 0.0000)
Ni (0.0000, 0.5000, 0.5000)
Ni (0.5000, 0.0000, 0.5000)
Pb (0.5000, 0.5000, 0.0000)

23.
Here is Ac2ThSe3 after structural relaxation from Alexandria. Energies are from PBE-GGA.

As for the space-group type: P6_3/mmc (194). Its crystal system is hexagonal. For the formation energy (no corrections), the calculation gives -987 kJ/mol of formula units.

a b c (Å): 4.2433 4.2433 22.8492
angles (deg): 90.00 90.00 120.00
Atoms (fractional coordinates):
Ac (0.3333, 0.6667, 0.0860)
Ac (0.3333, 0.6667, 0.4140)
Ac (0.6667, 0.3333, 0.5860)
Ac (0.6667, 0.3333, 0.9140)
Th (0.0000, 0.0000, 0.2500)
Th (0.0000, 0.0000, 0.7500)
Se (0.0000, 0.0000, 0.0000)
Se (0.0000, 0.0000, 0.5000)
Se (0.3333, 0.6667, 0.6720)
Se (0.3333, 0.6667, 0.8280)
Se (0.6667, 0.3333, 0.1720)
Se (0.6667, 0.3333, 0.3280)

24.
Here is Cs3TbPr2S6 after structural relaxation from Alexandria. Energies are from PBE-GGA.

As for the space-group type: C2/m (12). Its crystal system is monoclinic. For the formation energy (no corrections), the calculation gives -2097 kJ/mol of formula units.

a b c (Å): 7.3308 7.3308 8.4570
angles (deg): 98.31 98.31 120.00
Atoms (fractional coordinates):
Cs (0.0000, 0.0000, 0.0000)
Cs (0.3323, 0.6677, 0.0000)
Cs (0.6677, 0.3323, 0.0000)
Tb (0.5000, 0.5000, 0.5000)
Pr (0.1666, 0.8334, 0.5000)
Pr (0.8334, 0.1666, 0.5000)
S (0.1138, 0.4381, 0.3145)
S (0.2377, 0.2377, 0.6861)
S (0.4381, 0.1138, 0.3145)
S (0.5619, 0.8862, 0.6855)
S (0.7623, 0.7623, 0.3139)
S (0.8862, 0.5619, 0.6855)

| no. | E (eV per atom) |
| --- | --- |
| 1 | -9.53 |
| 2 | -6.08 |
| 3 | -5.66 |
| 4 | -3.75 |
| 5 | -5.86 |
| 6 | -6.51 |
| 7 | -4.02 |
| 8 | -6.02 |
| 9 | -4.56 |
| 10 | -4.47 |
| 11 | -4.59 |
| 12 | -2.93 |
| 13 | -8.09 |
| 14 | -5.42 |
| 15 | -6.95 |
| 16 | -2.55 |
| 17 | -6.62 |
| 18 | -4.42 |
| 19 | -2.35 |
| 20 | -4.12 |
| 21 | -10.69 |
| 22 | -3.43 |
| 23 | -6.05 |
| 24 | -5.27 |